Entry a
Entry from the Alexandria database: a relaxed DyZr2Sc8 crystal (GGA-PBE).

Output
For the total magnetization, the calculation gives 0.000 μB per atom. As for the space group: C2/m.

Structure (POSCAR):
```
DyZr2Sc8
1.0
-1.258 -4.829 2.953
3.497 -3.217 -3.770
4.597 3.221 6.396
Zr Sc Dy
2 8 1
Cartesian
2.356 -2.450 4.276
4.480 -2.375 1.303
2.445 -0.177 2.419
3.028 -1.364 -0.907
4.392 -4.649 3.161
3.199 -4.617 -0.397
3.808 -3.462 6.486
3.638 -0.208 5.976
5.375 -1.806 4.103
1.461 -3.019 1.476
0.000 0.000 0.000
```

=====

Entry b
Entry from the Alexandria database: a relaxed DyZr2Sc8 crystal (GGA-PBE).

Output
For the total magnetization, the calculation gives 0.000 μB per atom. As for the space group: C2/m.

Structure (POSCAR):
```
DyZr2Sc8
1.0
5.126 1.731 0.000
2.736 7.983 0.000
1.368 3.992 7.619
Dy Sc Zr
1 8 2
Cartesian
2.563 0.866 0.000
3.156 6.531 1.960
6.073 7.174 5.660
3.931 4.857 4.459
2.665 4.129 0.000
5.196 5.585 0.000
5.299 8.849 3.160
4.705 3.183 1.960
4.524 10.523 5.660
1.368 3.992 2.912
2.736 7.983 4.707
```

=====

entry a comes first in stability; the runner-up is 0.9 kJ/mol of atoms higher.

=====

Entry a
Entry from the Alexandria database: a relaxed DyZr3Sc6 crystal (GGA-PBE).

Output
For the total magnetization, the calculation gives 0.000 μB per atom. As for the space group: P2_1/m.

Structure (POSCAR):
```
DyZr3Sc6
1.0
-2.901 0.998 -0.957
-4.177 -11.124 1.061
-2.422 4.508 12.041
Dy Sc Zr
2 12 6
Cartesian
-5.414 -9.214 4.104
-4.086 3.596 8.041
-3.571 -3.916 4.042
-5.929 -1.702 8.103
-5.907 -5.938 3.619
-3.792 2.267 11.159
-3.908 -2.587 1.054
-7.152 -4.675 8.709
-5.592 -3.031 11.091
-5.708 -7.886 0.986
-5.583 -7.085 6.837
-3.593 0.319 8.525
-3.917 1.466 5.308
-2.348 -0.944 3.436
-6.148 0.082 10.627
-6.782 -5.965 11.637
-3.352 -5.701 1.517
-3.521 -1.742 6.157
-2.718 0.346 0.507
-5.979 -3.876 5.988
```

=====

Entry b
Entry from the Alexandria database: a relaxed DyZr3Sc6 crystal (GGA-PBE).

Output
For the total magnetization, the calculation gives 0.000 μB per atom. As for the space group: P2_1/m.

Structure (POSCAR):
```
DyZr3Sc6
1.0
3.282 0.000 0.000
0.000 13.159 -9.011
0.000 -4.289 14.477
Sc Dy Zr
12 2 6
Cartesian
2.462 8.914 -4.440
2.462 -0.713 7.264
0.821 -3.448 13.252
0.821 4.777 7.103
0.821 1.272 3.110
0.821 -0.045 9.906
2.462 12.317 -7.787
0.821 9.583 -1.798
2.462 4.093 -1.637
2.462 3.863 4.139
0.821 5.007 1.327
2.462 7.597 2.356
2.462 -2.759 10.110
0.821 11.629 -4.644
2.462 2.398 0.905
0.821 1.702 5.998
0.821 6.635 -2.981
2.462 2.235 8.447
0.821 6.472 4.561
2.462 7.168 -0.533
```

=====

entry a comes first in stability; the runner-up is 3.5 kJ/mol of atoms higher.

=====

Entry a
Entry from the Alexandria database: a relaxed DyZrSc6 crystal (GGA-PBE).

Output
For the total magnetization, the calculation gives 0.002 μB per atom. As for the space group: Amm2.

Structure (POSCAR):
```
DyZrSc6
1.0
5.201 0.000 0.000
0.000 6.661 -0.216
0.000 -3.143 5.877
Sc Zr Dy
6 1 1
Cartesian
2.601 2.548 0.420
2.601 4.270 3.190
0.000 2.538 2.346
0.000 -0.728 2.441
0.000 1.007 5.232
2.601 5.817 0.308
2.601 0.939 3.340
0.000 -2.321 5.366
```

=====

Entry b
Entry from the Alexandria database: a relaxed DyZrSc6 crystal (GGA-PBE).

Output
For the total magnetization, the calculation gives 0.000 μB per atom. As for the space group: Amm2.

Structure (POSCAR):
```
DyZrSc6
1.0
4.590 0.000 0.000
0.000 8.541 -3.631
0.000 -2.439 6.123
Dy Sc Zr
1 6 1
Cartesian
0.000 5.627 1.376
2.295 0.473 1.113
2.295 -0.719 4.125
0.000 6.801 -1.633
0.000 2.646 0.134
2.295 3.470 2.344
0.000 1.399 3.290
2.295 4.709 -0.783
```

=====

entry a comes first in stability; the runner-up is 5.5 kJ/mol of atoms higher.

=====

Entry a
Entry from the Alexandria database: a relaxed Dy3Se4 crystal (GGA-PBE).

Output
For the total magnetization, the calculation gives 0.000 μB per atom. As for the space group: I-43d.

Structure (POSCAR):
```
Dy3Se4
1.0
-2.176 -4.292 5.786
4.785 -3.869 -4.333
3.412 6.182 2.605
Se Dy
8 6
Cartesian
4.780 0.605 -1.481
2.152 -0.708 1.451
2.388 2.540 0.685
2.082 -2.546 -1.342
0.994 -4.692 1.551
-0.602 -1.265 3.264
1.104 1.826 4.567
5.163 -1.697 3.481
4.733 0.609 1.416
2.295 -0.806 4.343
-0.281 -3.950 4.306
3.508 -3.266 1.344
3.039 3.852 3.185
4.768 -2.376 -2.417
```

=====

Entry b
Entry from the Alexandria database: a relaxed Dy3Se4 crystal (GGA-PBE).

Output
For the total magnetization, the calculation gives 0.000 μB per atom. As for the space group: I4/mmm.

Structure (POSCAR):
```
Dy3Se4
1.0
5.746 0.000 0.000
0.000 5.746 0.000
-2.873 -2.873 5.691
Se Dy
4 3
Cartesian
0.000 0.000 2.879
0.000 2.873 0.000
2.873 2.873 2.812
2.873 0.000 0.000
0.000 0.000 0.000
0.000 2.873 2.846
2.873 0.000 2.846
```

=====

entry b comes first in stability; the runner-up is 6.1 kJ/mol of atoms higher.